Record 1
## Rb2YTmSe4 (PBE-GGA)

Data for crystalline Rb2YTmSe4 at its relaxed geometry.

## Properties
formation energy from raw total energies	-1.74	eV/atom

Unit cell a=7.3062 b=4.2185 c=8.3495 alpha=90.00 beta=106.96 gamma=90.00
Closest atoms and distances in Å follow each position.
Space group P2/m (No. 10)
Inequivalent atoms, fractional coordinates:
Rb1 0.0000 0.0000 0.0000 [1 per cell]  6 Se 3.46
Rb2 0.5000 0.5000 0.0000 [1 per cell]  6 Se 3.43
Y1 0.0000 0.5000 0.5000 [1 per cell]  6 Se 2.90-2.91
Tm1 0.5000 0.0000 0.5000 [1 per cell]  6 Se 2.87-2.88
Se1 0.2349 0.0000 0.6953 [2 per cell]  1 Tm 2.87, 2 Y 2.90
Se2 0.2718 0.5000 0.3060 [2 per cell]  2 Tm 2.88, 1 Y 2.91

***

Record 2
## LiAgPt (PBE-GGA)

Data for crystalline LiAgPt at its relaxed geometry.

## Properties
energy above the lowest structure with this stoichiometry	47	meV per atom
energy of formation from the pure elements	-23.6	kJ/mol of atoms

Unit cell a=2.8687 b=4.6949 c=13.8473 alpha=90.00 beta=90.00 gamma=90.00
Closest atoms and distances in Å follow each position.
Space group Fmm2 (No. 42)
Inequivalent atoms, fractional coordinates:
Li1 0.0000 0.0000 0.0000 [4 per cell]  2 Pt 2.54, 2 Ag 2.70, 4 Li 2.75
Ag1 0.0000 0.0000 0.3352 [4 per cell]  2 Li 2.70, 6 Ag 2.75-2.87, 2 Pt 2.92
Pt1 0.0000 0.0000 0.6512 [4 per cell]  2 Li 2.54, 4 Pt 2.75

***

| no. | raw total energy (eV/atom) |
| --- | --- |
| 1 | -5.0872 |
| 2 | -3.8466 |